(1)
Entry from Alexandria: an optimized crystal structure of MgIn3 (PBEsol).

a = 5.8179 Å, b = 5.8179 Å, c = 5.8179 Å
α = 90.00°, β = 90.00°, γ = 90.00°
Last column: nearest neighbours and their distance in Å.
Atoms (fractional coordinates):
In (0.0000, 0.2500, 0.5000)  2 In 2.91, 4 Mg 3.25
In (0.0000, 0.7500, 0.5000)  2 In 2.91, 4 Mg 3.25
In (0.2500, 0.5000, 0.0000)  2 In 2.91, 4 Mg 3.25
In (0.5000, 0.0000, 0.2500)  2 In 2.91, 4 Mg 3.25
In (0.5000, 0.0000, 0.7500)  2 In 2.91, 4 Mg 3.25
In (0.7500, 0.5000, 0.0000)  2 In 2.91, 4 Mg 3.25
Mg (0.0000, 0.0000, 0.0000)  12 In 3.25
Mg (0.5000, 0.5000, 0.5000)  12 In 3.25

Properties
**SG**: Pm-3n, No. 223
**Calculated formation energy**: -12 meV per atom
**Total magnetization**: 0.00 μB/cell
**Electronic total energy**: -2.68 eV/atom

(2)
Entry from Alexandria: an optimized crystal structure of K3TiSe (PBEsol).

a = 6.1063 Å, b = 6.1063 Å, c = 6.1063 Å
α = 90.00°, β = 90.00°, γ = 90.00°
Last column: nearest neighbours and their distance in Å.
Atoms (fractional coordinates):
K (0.0000, 0.5000, 0.0000)  2 Ti 3.05
K (0.0000, 0.0000, 0.5000)  2 Ti 3.05
K (0.5000, 0.0000, 0.0000)  2 Ti 3.05
Se (0.5000, 0.5000, 0.5000)  12 K 4.32
Ti (0.0000, 0.0000, 0.0000)  6 K 3.05

Properties
**SG**: Pm-3m, No. 221
**Total magnetization**: 3.09 μB/cell
**Electronic total energy**: -2.27 eV/atom
**Formation energy from raw total energies**: 81.4 kJ per mole of atoms

(3)
Entry from Alexandria: an optimized crystal structure of SnAuS2N (PBEsol).

a = 3.7452 Å, b = 5.0142 Å, c = 5.0142 Å
α = 90.00°, β = 90.00°, γ = 90.00°
Last column: nearest neighbours and their distance in Å.
Atoms (fractional coordinates):
S (0.0000, 0.0000, 0.5000)  2 Au 2.51
S (0.0000, 0.5000, 0.0000)  2 Au 2.51
Au (0.0000, 0.0000, 0.0000)  2 N 1.87
Sn (0.5000, 0.5000, 0.5000)  8 S 3.13
N (0.5000, 0.0000, 0.0000)  2 Au 1.87

Properties
**SG**: P4/mmm, No. 123
**Total magnetization**: 0.00 μB/cell
**Electronic total energy**: -4.39 eV/atom
**Formation energy from raw total energies**: 67.9 kJ per mole of atoms

(4)
Entry from Alexandria: an optimized crystal structure of PtPb2 (PBEsol).

a = 3.3692 Å, b = 3.3692 Å, c = 13.1872 Å
α = 97.34°, β = 97.34°, γ = 90.00°
Last column: nearest neighbours and their distance in Å.
Atoms (fractional coordinates):
Pb (0.6840, 0.1840, 0.3680)  4 Pt 2.93
Pb (0.8160, 0.3160, 0.6320)  4 Pt 2.93
Pb (0.4340, 0.4340, 0.8680)  4 Pt 2.93
Pb (0.5660, 0.5660, 0.1320)  4 Pt 2.93
Pt (0.0000, 0.0000, 0.0000)  8 Pb 2.93
Pt (0.2500, 0.7500, 0.5000)  8 Pb 2.93

Properties
**SG**: I4_1/amd, No. 141
**Calculated formation energy**: -75 meV per atom
**Total magnetization**: 0.00 μB/cell
**Electronic total energy**: -5.06 eV/atom

Copy entry 4 word for word.
Entry from Alexandria: an optimized crystal structure of PtPb2 (PBEsol).

a = 3.3692 Å, b = 3.3692 Å, c = 13.1872 Å
α = 97.34°, β = 97.34°, γ = 90.00°
Last column: nearest neighbours and their distance in Å.
Atoms (fractional coordinates):
Pb (0.6840, 0.1840, 0.3680)  4 Pt 2.93
Pb (0.8160, 0.3160, 0.6320)  4 Pt 2.93
Pb (0.4340, 0.4340, 0.8680)  4 Pt 2.93
Pb (0.5660, 0.5660, 0.1320)  4 Pt 2.93
Pt (0.0000, 0.0000, 0.0000)  8 Pb 2.93
Pt (0.2500, 0.7500, 0.5000)  8 Pb 2.93

Properties
**SG**: I4_1/amd, No. 141
**Calculated formation energy**: -75 meV per atom
**Total magnetization**: 0.00 μB/cell
**Electronic total energy**: -5.06 eV/atom